The following is a GGA-PBE calculation of an optimized crystal structure of Cs2CrHBr, from Alexandria via LeMat-Bulk.

```
data_Cs2CrHBr
_chemical_formula_sum 'Cs2 Cr1 H1 Br1'
_symmetry_space_group_name_H-M 'P 1'
_symmetry_Int_Tables_number 1
_symmetry_space_group_name_Hall 'P 1'
_cell_length_a 7.0347
_cell_length_b 5.2398
_cell_length_c 7.0347
_cell_angle_alpha 90.00
_cell_angle_beta 90.00
_cell_angle_gamma 90.00
loop_
_atom_site_label
_atom_site_fract_x
_atom_site_fract_y
_atom_site_fract_z
H1 0.5000 0.5000 0.5000
Cs1 0.5000 0.0000 0.0000
Cs2 0.0000 0.0000 0.5000
Cr1 0.0000 0.5000 0.0000
Br1 0.0000 0.0000 0.0000
```

Computed properties:
Magnetic moment   5.0 Bohr magnetons per cell
Final energy   -3.1364 eV per atom
SG   P4/mmm
Theoretical density   2.6 Mg/m³